In3Ga5Hg12 | Alexandria via LeMat-Bulk | PBE-GGA | relaxed; crystal system = cubic; VASP energy = -1.21 eV/atom
1.0
14.443 0.000 0.000
-4.814 13.617 0.000
-4.814 -6.809 11.793
In Ga Hg
12 20 48
Cartesian
8.425 4.255 1.474
8.425 9.362 1.474
-1.204 5.958 7.371
1.204 -0.851 4.422
10.833 0.000 2.948
1.204 6.809 2.948
3.611 0.000 8.845
-6.018 6.809 8.845
3.611 7.660 7.371
6.018 0.851 4.422
-3.611 -2.553 10.319
-3.611 2.553 10.319
-1.204 3.404 2.948
-2.407 6.809 0.000
0.000 0.000 0.000
3.611 2.553 1.474
4.814 -3.404 5.896
4.814 6.809 0.000
-3.611 7.660 4.422
6.018 -4.255 10.319
6.018 5.958 4.422
1.204 -3.404 8.845
3.611 10.213 2.948
2.407 3.404 5.896
7.222 0.000 0.000
-2.407 -3.404 5.896
-1.204 0.851 7.371
-1.204 11.064 1.474
-4.814 3.404 5.896
8.425 -0.851 7.371
1.204 4.255 10.319
6.018 3.404 8.845
9.628 1.318 0.560
0.001 4.549 5.035
10.595 3.278 3.271
6.255 2.211 1.422
1.966 5.244 7.962
10.155 6.611 2.065
-0.966 7.876 4.693
-3.848 11.406 1.422
0.441 8.374 7.962
6.696 7.006 2.065
7.222 3.578 4.475
7.222 12.299 0.560
-4.374 6.113 6.457
2.933 5.119 1.204
-4.815 10.039 4.475
2.408 -2.260 6.758
-0.441 0.869 2.626
2.933 8.696 0.862
6.255 10.339 3.271
-0.526 4.921 0.862
-2.848 7.678 9.167
3.374 5.741 4.693
6.781 7.505 6.457
5.341 -1.690 10.589
1.441 1.067 7.100
-1.966 -0.696 5.336
-0.526 8.499 1.204
-1.441 -3.530 8.522
7.663 -0.869 2.626
5.341 1.887 10.931
1.881 -1.887 10.931
2.407 9.069 5.035
5.255 5.940 9.167
9.630 -3.230 7.318
9.188 0.696 5.336
-2.408 -5.490 11.233
1.881 1.690 10.589
4.374 -1.565 3.831
-1.881 -0.197 9.728
-2.408 3.230 7.318
8.663 -4.598 10.371
5.781 -1.067 7.100
-1.441 4.598 10.371
-5.341 0.197 9.728
2.848 1.565 3.831
-5.781 3.530 8.522
4.814 2.260 6.758
-4.814 5.490 11.233

In12Ga6Hg | Alexandria via LeMat-Bulk | PBE-GGA | relaxed; crystal system = trigonal; VASP energy = -2.65 eV/atom
1.0
-4.391 0.665 6.593
-3.413 -6.422 -3.209
6.502 -3.373 3.088
In Ga Hg
12 6 1
Cartesian
0.283 -1.384 3.174
0.893 -3.306 0.585
-2.185 -2.389 1.259
-1.585 -7.746 3.297
-2.195 -5.824 5.886
0.883 -6.741 5.212
3.389 -2.506 2.930
1.778 -8.325 2.445
0.158 -4.366 7.704
-4.692 -6.625 3.541
-3.081 -0.805 4.026
-1.461 -4.764 -1.233
1.914 -5.291 2.602
1.425 -3.804 4.854
-0.187 -6.229 1.108
-3.217 -3.840 3.870
-2.727 -5.327 1.617
-1.116 -2.901 5.363
0.000 0.000 0.000

In5Ga3Hg4 | Alexandria via LeMat-Bulk | PBE-GGA | relaxed; crystal system = triclinic; VASP energy = -1.95 eV/atom
1.0
-4.910 -2.146 -3.781
4.925 -2.830 4.693
-10.544 2.121 3.237
In Ga Hg
5 3 4
Cartesian
-2.854 -1.880 -0.601
-5.272 1.060 1.618
-0.032 -2.357 2.997
-10.496 -0.499 1.151
-7.674 -0.976 4.749
-4.992 -1.169 3.581
-7.727 -0.013 -0.272
-5.536 -1.687 0.567
-1.149 -4.018 0.668
-8.094 -2.297 2.007
-2.434 -0.559 2.141
-9.379 1.162 3.480

In3GaHg | Alexandria via LeMat-Bulk | PBE-GGA | relaxed; crystal system = cubic; VASP energy = -1.86 eV/atom
1.0
5.565 0.000 0.000
0.000 5.565 0.000
0.000 0.000 5.565
Hg Ga In
1 1 3
Cartesian
0.000 0.000 0.000
2.782 2.782 2.782
0.000 2.782 0.000
0.000 0.000 2.782
2.782 0.000 0.000